Below is a relaxed K2AgClF2 crystal, with properties calculated at the PBE level.

Properties
As for the size of the total moment: 0.0 μB per formula unit. The calculation puts the uncorrected formation energy at -1.810 eV per atom.

Lattice parameters (Å, degrees): 4.566 4.566 6.865 90.00 90.00 90.00
Atoms (fractional coordinates):
K1 0.000 0.000 0.243
K2 0.000 0.000 0.757
Ag1 0.500 0.500 0.000
Cl1 0.500 0.500 0.500
F1 0.000 0.500 0.000
F2 0.500 0.000 0.000